The following is a DFT calculation (PBE-GGA) of a relaxed structure of MgMnTeAs2.

Space-group type: No. 123
Density (g/cm3): 3.88
ΔE_f (raw) (eV/atom): 0.964
D(E_F) (states/eV per cell): 3.76
Size of the total moment (μB per formula unit): 4.47

Cell lengths 5.4676, 5.4676, 5.1103 Å; angles 90.00, 90.00, 90.00 degrees
Closest atoms and distances in Å follow each position.
Fractional coordinates of all 5 atoms:
Mg 0.0000 0.0000 0.0000  2 Te 2.56
Mn 0.5000 0.5000 0.0000  8 As 3.74, 4 Mg 3.87
Te 0.0000 0.0000 0.5000  2 Mg 2.56, 4 As 2.73
As 0.0000 0.5000 0.5000  2 Te 2.73
As 0.5000 0.0000 0.5000  2 Te 2.73